DFT (GGA-PBEsol) results for a relaxed Mn2TeAu crystal.

## Properties
DOS at the Fermi energy ... 0.4066 states/eV per atom
Uncorrected energy ... -6.365 eV/atom

a b c (Å): 8.3573 8.3573 8.3573
angles (deg): 21.90 21.90 21.90
Fractional positions:
Mn 0.0000 0.0000 0.0000
Mn 0.2694 0.2694 0.2694
Te 0.5214 0.5214 0.5214
Au 0.7445 0.7445 0.7445